CdPd6W | PBE | relaxed

Lattice parameters (Å, degrees): 3.970 3.970 8.004 90.00 90.00 90.00
Atoms (fractional coordinates):
Pd: 0.000 0.500 0.735
Pd: 0.500 0.000 0.735
Cd: 0.000 0.000 0.000
Pd: 0.500 0.500 0.500
Pd: 0.500 0.000 0.265
Pd: 0.000 0.500 0.265
Pd: 0.500 0.500 0.000
W: 0.000 0.000 0.500

- DFT formation energy (kJ/mol of atoms) = -20
- total magnetic moment (μB per atom) = 0.00